A geometry-optimized U2PaNbN4 structure, computed with PBE-GGA.

Summary:
The value obtained for the uncorrected formation energy is -1.34 eV per atom. The total magnetization is 2.7 μB per cell. Its space group is No. 10. The theoretical density is 13.02 g/cm³. The density of states at the Fermi level comes out at 1.303 states/eV per atom.

Cell and atoms, written as extended XYZ:
```
8
Lattice="3.401 0.000 0.000 0.000 5.881 0.143 0.000 -2.012 5.408" Properties=species:S:1:pos:R:3 pbc="T T T"
U 1.701 -1.006 2.704
U 0.000 1.935 2.776
Pa 1.701 2.940 0.072
Nb 0.000 0.000 0.000
N 1.701 0.872 1.314
N 1.701 2.998 4.238
N 0.000 -0.140 4.113
N 0.000 4.009 1.439
```

A geometry-optimized SrAlAs2 structure, computed with PBE-GGA.

Summary:
The formation energy comes out at -0.63 eV per atom. The total magnetization is 0.0 μB per cell. Its space group is No. 122. The theoretical density is 4.25 g/cm³. The density of states at the Fermi level comes out at 0.477 states/eV per atom.

Cell and atoms, written as extended XYZ:
```
8
Lattice="-3.591 -0.475 6.482 4.878 -5.092 2.329 2.811 -0.066 5.806" Properties=species:S:1:pos:R:3 pbc="T T T"
Sr 0.000 0.000 0.000
Sr -0.069 -1.663 8.347
As -0.685 -0.917 5.348
As 3.055 -3.291 4.164
As 2.927 -2.488 7.819
As 2.898 -4.570 11.904
Al 0.643 -2.784 4.406
Al 4.166 -3.971 6.270
```

A geometry-optimized In2Cu2Sn structure, computed with PBE-GGA.

Summary:
The formation energy comes out at 0.05 eV per atom. The total magnetization is 0.0 μB per cell. Its space group is No. 15. The theoretical density is 7.55 g/cm³. The density of states at the Fermi level comes out at 0.392 states/eV per atom.

Cell and atoms, written as extended XYZ:
```
10
Lattice="-4.914 -3.134 2.281 6.003 -2.398 1.051 -1.740 5.381 3.646" Properties=species:S:1:pos:R:3 pbc="T T T"
In 2.211 -0.629 1.851
In 0.169 1.314 4.218
In -0.820 -1.465 2.760
In -2.861 0.478 5.127
Cu 3.990 -2.814 1.652
Cu 1.359 -1.247 4.292
Cu -4.640 2.663 5.326
Cu -2.010 1.096 2.686
Sn -4.974 -1.550 3.019
Sn 4.324 1.400 3.959
```

A geometry-optimized LiTb4Sm3S8 structure, computed with PBE-GGA.

Summary:
The value obtained for the uncorrected formation energy is -1.97 eV per atom. The total magnetization is 0.0 μB per cell. Its space group is No. 166. The theoretical density is 6.44 g/cm³. The density of states at the Fermi level comes out at 0.519 states/eV per atom.

Cell and atoms, written as extended XYZ:
```
16
Lattice="-0.673 6.751 4.042 3.190 -3.475 6.335 3.828 -0.103 -6.906" Properties=species:S:1:pos:R:3 pbc="T T T"
Li 1.595 -1.738 3.167
Tb -0.336 3.375 2.021
Tb 1.577 3.324 -1.432
Tb 0.000 0.000 0.000
Tb 1.914 -0.051 -3.453
Sm 1.259 1.638 5.188
Sm 3.172 1.587 1.736
Sm 3.509 -1.789 -0.286
S 2.250 -0.949 5.720
S 4.116 -0.999 2.353
S 2.501 0.777 -0.882
S 1.905 2.511 7.792
S 4.440 0.662 -4.320
S 3.844 2.396 4.353
S 2.228 4.172 1.118
S 4.095 4.122 -2.249
```

A geometry-optimized TbPmEuTh structure, computed with PBE-GGA.

Summary:
The formation energy comes out at 0.22 eV per atom. The total magnetization is 6.7 μB per cell. Its space group is No. 216. The theoretical density is 8.32 g/cm³. The density of states at the Fermi level comes out at 2.196 states/eV per atom.

Cell and atoms, written as extended XYZ:
```
4
Lattice="-3.596 2.656 -3.682 -0.792 -2.138 -5.324 -5.046 -2.469 -1.408" Properties=species:S:1:pos:R:3 pbc="T T T"
Eu 0.000 0.000 0.000
Tb -2.359 -0.488 -2.603
Th -4.717 -0.976 -5.207
Pm -7.076 -1.464 -7.810
```

A geometry-optimized SmDy12Tl3 structure, computed with PBE-GGA.

Summary:
The formation energy comes out at -0.12 eV per atom. The total magnetization is 0.0 μB per cell. Its space group is No. 123. The theoretical density is 9.57 g/cm³. The density of states at the Fermi level comes out at 1.286 states/eV per atom.

Cell and atoms, written as extended XYZ:
```
16
Lattice="4.862 0.000 0.000 0.000 4.862 0.000 0.000 0.000 19.904" Properties=species:S:1:pos:R:3 pbc="T T T"
Sm 0.000 0.000 0.000
Dy 2.431 2.431 0.000
Dy 2.431 2.431 5.085
Dy 2.431 2.431 9.952
Dy 2.431 2.431 14.819
Dy 2.431 0.000 2.608
Dy 2.431 0.000 7.510
Dy 2.431 0.000 12.394
Dy 2.431 0.000 17.296
Dy 0.000 2.431 2.608
Dy 0.000 2.431 7.510
Dy 0.000 2.431 12.394
Dy 0.000 2.431 17.296
Tl 0.000 0.000 5.117
Tl 0.000 0.000 9.952
Tl 0.000 0.000 14.787
```

A geometry-optimized MnHN structure, computed with PBE-GGA.

Summary:
The total magnetization is 2.9 μB per cell. Its space group is No. 8. The theoretical density is 3.48 g/cm³. The total DFT energy (no corrections) comes out at -0.251 Ha/atom. The density of states at the Fermi level comes out at 0.478 states/eV per atom.

Cell and atoms, written as extended XYZ:
```
6
Lattice="4.854 0.000 0.082 0.000 2.754 0.000 -0.525 0.000 4.981" Properties=species:S:1:pos:R:3 pbc="T T T"
Mn 1.470 0.000 0.204
Mn 1.207 1.377 2.694
H 2.180 0.000 3.534
H 2.443 1.377 1.044
N 0.559 0.000 1.716
N 0.296 1.377 4.206
```

A geometry-optimized PrSnAs2 structure, computed with PBE-GGA.

Summary:
The formation energy comes out at -0.60 eV per atom. The total magnetization is 0.0 μB per cell. Its space group is No. 123. The theoretical density is 7.11 g/cm³. The density of states at the Fermi level comes out at 0.570 states/eV per atom.

Cell and atoms, written as extended XYZ:
```
4
Lattice="3.928 0.000 0.000 0.000 4.935 0.000 0.000 0.000 4.935" Properties=species:S:1:pos:R:3 pbc="T T T"
Pr 1.964 0.000 0.000
As 0.000 0.000 2.467
As 0.000 2.467 0.000
Sn 1.964 2.467 2.467
```

A geometry-optimized YTlHgPd structure, computed with PBE-GGA.

Summary:
The formation energy comes out at -0.42 eV per atom. The total magnetization is 0.0 μB per cell. Its space group is No. 216. The theoretical density is 11.08 g/cm³. The density of states at the Fermi level comes out at 0.602 states/eV per atom.

Cell and atoms, written as extended XYZ:
```
4
Lattice="-5.006 0.470 -0.113 -2.860 -2.835 3.013 -2.416 2.099 3.879" Properties=species:S:1:pos:R:3 pbc="T T T"
Y -7.712 -0.199 5.084
Tl -2.571 -0.066 1.695
Hg -5.141 -0.132 3.389
Pd 0.000 0.000 0.000
```

A geometry-optimized NdSm2Dy6Sc3 structure, computed with PBE-GGA.

Summary:
The formation energy comes out at 0.05 eV per atom. The total magnetization is 0.0 μB per cell. Its space group is No. 12. The theoretical density is 7.10 g/cm³. The density of states at the Fermi level comes out at 1.455 states/eV per atom.

Cell and atoms, written as extended XYZ:
```
12
Lattice="6.083 -0.001 0.017 -3.041 5.269 0.017 -1.045 -1.809 11.341" Properties=species:S:1:pos:R:3 pbc="T T T"
Nd 0.000 0.000 0.000
Sm 0.002 3.512 0.017
Sm 3.041 1.757 0.017
Dy 3.020 1.715 8.398
Dy 2.021 3.499 2.994
Dy -1.022 1.744 2.976
Dy -0.023 3.473 8.398
Dy -0.023 -0.039 8.381
Dy 2.021 -0.013 2.976
Sc -2.041 3.485 5.687
Sc 4.039 -0.026 5.687
Sc 0.999 1.730 5.687
```

A geometry-optimized MgMn3Zn structure, computed with PBE-GGA.

Summary:
The formation energy comes out at 1.38 eV per atom. The total magnetization is 10.7 μB per cell. Its space group is No. 221. The theoretical density is 4.19 g/cm³. The density of states at the Fermi level comes out at 0.867 states/eV per atom.

Cell and atoms, written as extended XYZ:
```
5
Lattice="-0.560 4.076 -2.180 -4.039 -1.500 -1.766 -2.249 1.679 3.716" Properties=species:S:1:pos:R:3 pbc="T T T"
Zn -3.424 2.128 -0.115
Mn -2.020 -0.750 -0.883
Mn -1.124 0.839 1.858
Mn -0.280 2.038 -1.090
Mg 0.000 0.000 0.000
```

A geometry-optimized KAg2SnS4 structure, computed with PBE-GGA.

Summary:
The value obtained for the uncorrected formation energy is -0.42 eV per atom. The total magnetization is 0.0 μB per cell. Its space group is No. 121. The theoretical density is 4.21 g/cm³. The density of states at the Fermi level comes out at 0.478 states/eV per atom.

Cell and atoms, written as extended XYZ:
```
8
Lattice="-2.573 -5.483 2.076 2.443 2.209 5.490 -4.142 3.965 -2.848" Properties=species:S:1:pos:R:3 pbc="T T T"
K -0.065 -1.637 3.783
Ag -3.390 -1.577 1.506
Ag -0.882 2.269 3.213
Sn 0.000 0.000 0.000
S -2.551 0.315 3.038
S -1.583 -4.494 4.069
S 1.408 0.092 6.104
S -1.676 1.504 -0.926
```